(1)
Density functional theory data (PBE) for a relaxed SrMoAs3 crystal.

Values from the calculation:
**Energy of formation**: -0.235 eV per atom
**Crystal system**: cubic

Unit cell a=4.9700 b=4.9700 c=4.9700 alpha=90.00 beta=90.00 gamma=90.00
Space group Pm-3m (No. 221)
Unique sites:
Sr1 0.0000 0.0000 0.0000 [1 per cell]
Mo1 0.5000 0.5000 0.5000 [1 per cell]
As1 0.0000 0.5000 0.5000 [3 per cell]

***

(2)
Density functional theory data (PBE) for a relaxed Sr2MoAs2 crystal.

Values from the calculation:
**Energy of formation**: -0.407 eV per atom
**Crystal system**: tetragonal

Unit cell a=7.0609 b=7.0609 c=4.7895 alpha=90.00 beta=90.00 gamma=90.00
Space group P4/mbm (No. 127)
Unique sites:
Sr1 0.1686 0.3314 0.0000 [4 per cell]
Mo1 0.0000 0.0000 0.5000 [2 per cell]
As1 0.1487 0.6487 0.5000 [4 per cell]

***

(3)
Density functional theory data (PBE) for a relaxed SrMo2As crystal.

Values from the calculation:
**Energy of formation**: 0.570 eV per atom
**Crystal system**: tetragonal

Unit cell a=4.7486 b=4.7486 c=6.7475 alpha=90.00 beta=90.00 gamma=90.00
Space group I-4m2 (No. 119)
Unique sites:
Sr1 0.0000 0.0000 0.0000 [2 per cell]
Mo1 0.0000 0.0000 0.5000 [2 per cell]
Mo2 0.0000 0.5000 0.2500 [2 per cell]
As1 0.0000 0.5000 0.7500 [2 per cell]